First-principles (PBE) data for a relaxed structure of AgTeMo2, as listed in Alexandria via LeMat-Bulk.

Calculated values
symmetry: No. 6

Geometry as POSCAR:
```
AgTeMo2
1.0
3.121 0.000 0.000
0.000 4.506 0.000
-1.204 0.000 5.317
Ag Te Mo
1 1 2
direct
0.000 0.000 0.000 Ag
0.371 0.500 0.755 Te
0.434 0.000 0.487 Mo
0.691 0.500 0.303 Mo
```



First-principles (PBE) data for a relaxed structure of AgTeMo, as listed in Alexandria via LeMat-Bulk.

Calculated values
energy above the most stable polymorph in this dataset: 53 kJ/mol of formula units
symmetry: No. 156

Geometry as POSCAR:
```
AgTeMo
1.0
4.820 0.000 0.000
-2.410 4.174 0.000
0.000 0.000 2.900
Ag Te Mo
1 1 1
direct
0.000 0.000 0.000 Ag
0.333 0.667 0.502 Te
0.667 0.333 0.501 Mo
```



First-principles (PBE) data for a relaxed structure of Ag2TeMo, as listed in Alexandria via LeMat-Bulk.

Calculated values
symmetry: No. 166

Geometry as POSCAR:
```
Ag2TeMo
1.0
1.508 0.870 10.210
-1.508 0.870 10.210
0.000 -1.741 10.210
Ag Te Mo
2 1 1
direct
0.242 0.242 0.242 Ag
0.758 0.758 0.758 Ag
0.000 0.000 0.000 Te
0.500 0.500 0.500 Mo
```



Total moment, record by record: 0.0 0.0 0.5 μB/f.u.
Uncorrected formation energy, record by record: 13.83 14.10 13.05 kcal/mol of atoms